<A>
Density functional theory data (GGA-PBE) for a geometry-optimized Er2AgPd4 structure.

Properties
Its total moment is 0.00 μB/cell.

a = 9.5342 Å, b = 9.5342 Å, c = 9.5342 Å
α = 155.85°, β = 155.85°, γ = 34.41°
With the nearest neighbours (Å) after each atom.
Fractional coordinates of all 7 atoms:
Er  0.1213  0.1213  0.0000  8 Pd 2.85-3.08
Er  0.8787  0.8787  0.0000  8 Pd 2.85-3.08
Ag  0.5000  0.5000  0.0000  2 Pd 2.65
Pd  0.2500  0.7500  0.5000  8 Pd 2.76-2.82, 4 Er 3.08
Pd  0.3545  0.3545  0.0000  1 Ag 2.65, 4 Pd 2.76, 4 Er 2.85
Pd  0.6455  0.6455  0.0000  1 Ag 2.65, 4 Pd 2.76, 4 Er 2.85
Pd  0.7500  0.2500  0.5000  8 Pd 2.76-2.82, 4 Er 3.08

***

<B>
Density functional theory data (GGA-PBE) for a geometry-optimized Er2AgPd4 structure.

Properties
Its total moment is 0.00 μB/cell.

a = 5.4576 Å, b = 5.4493 Å, c = 9.3251 Å
α = 90.00°, β = 104.79°, γ = 90.00°
With the nearest neighbours (Å) after each atom.
Fractional coordinates of all 14 atoms:
Er  0.1260  0.2500  0.4060  9 Pd 2.89-3.22
Er  0.3070  0.7500  0.9856  6 Pd 2.74-3.03, 1 Ag 2.93
Er  0.6930  0.2500  0.0144  6 Pd 2.74-3.03, 1 Ag 2.93
Er  0.8740  0.7500  0.5940  9 Pd 2.89-3.22
Ag  0.0047  0.2500  0.8014  4 Pd 2.67-2.77, 1 Er 2.93
Ag  0.9953  0.7500  0.1986  4 Pd 2.67-2.77, 1 Er 2.93
Pd  0.2115  0.2500  0.1020  2 Pd 2.73, 5 Er 2.74-3.03, 1 Ag 2.74
Pd  0.3347  0.7500  0.4614  1 Ag 2.67, 4 Pd 2.73-2.87, 3 Er 2.89-2.95
Pd  0.3930  0.0028  0.7210  5 Pd 2.69-2.87, 1 Ag 2.77, 1 Er 2.97
Pd  0.3930  0.4972  0.7210  5 Pd 2.69-2.87, 1 Ag 2.77, 1 Er 2.97
Pd  0.6070  0.5028  0.2790  5 Pd 2.69-2.87, 1 Ag 2.77, 1 Er 2.97
Pd  0.6070  0.9972  0.2790  5 Pd 2.69-2.87, 1 Ag 2.77, 1 Er 2.97
Pd  0.6653  0.2500  0.5386  1 Ag 2.67, 4 Pd 2.73-2.87, 3 Er 2.89-2.95
Pd  0.7885  0.7500  0.8980  2 Pd 2.73, 5 Er 2.74-3.03, 1 Ag 2.74

***

Most stable = <B>

***

<A>
Density functional theory data (GGA-PBE) for a geometry-optimized Er3AgPd2 structure.

Properties
Its total moment is 0.00 μB/cell.

a = 3.5272 Å, b = 3.5272 Å, c = 10.5341 Å
α = 90.00°, β = 90.00°, γ = 90.00°
With the nearest neighbours (Å) after each atom.
Fractional coordinates of all 6 atoms:
Er  0.0000  0.0000  0.0000  8 Pd 3.03
Er  0.0000  0.0000  0.3231  4 Pd 3.01, 4 Ag 3.11
Er  0.0000  0.0000  0.6769  4 Pd 3.01, 4 Ag 3.11
Ag  0.5000  0.5000  0.5000  8 Er 3.11
Pd  0.5000  0.5000  0.1629  8 Er 3.01-3.03
Pd  0.5000  0.5000  0.8371  8 Er 3.01-3.03

***

<B>
Density functional theory data (GGA-PBE) for a geometry-optimized Er3AgPd2 structure.

Properties
Its total moment is 0.00 μB/cell.

a = 4.9721 Å, b = 4.9721 Å, c = 12.2055 Å
α = 90.00°, β = 90.00°, γ = 120.00°
With the nearest neighbours (Å) after each atom.
Fractional coordinates of all 12 atoms:
Er  0.0000  0.0000  0.2430  5 Pd 2.97-3.14, 3 Ag 3.06
Er  0.0000  0.0000  0.7570  5 Pd 2.97-3.14, 3 Ag 3.06
Er  0.3333  0.6667  0.4168  4 Pd 3.01-3.05, 4 Ag 3.06-3.09
Er  0.3333  0.6667  0.9224  7 Pd 3.02-3.08, 1 Ag 3.08
Er  0.6667  0.3333  0.0776  7 Pd 3.02-3.08, 1 Ag 3.08
Er  0.6667  0.3333  0.5832  4 Pd 3.01-3.05, 4 Ag 3.06-3.09
Ag  0.3333  0.6667  0.6698  8 Er 3.06-3.09
Ag  0.6667  0.3333  0.3302  8 Er 3.06-3.09
Pd  0.0000  0.0000  0.0000  8 Er 2.97-3.02
Pd  0.0000  0.0000  0.5000  8 Er 3.05-3.14
Pd  0.3333  0.6667  0.1699  8 Er 3.01-3.08
Pd  0.6667  0.3333  0.8301  8 Er 3.01-3.08

***

Most stable = <A>

***

<A>
Density functional theory data (GGA-PBE) for a geometry-optimized ErAgPdRh structure.

Properties
Its total moment is 0.00 μB/cell.

a = 4.6624 Å, b = 4.6624 Å, c = 4.6624 Å
α = 60.00°, β = 60.00°, γ = 60.00°
With the nearest neighbours (Å) after each atom.
Fractional coordinates of all 4 atoms:
Er  0.0000  0.0000  0.0000  4 Pd 2.86, 4 Rh 2.86
Ag  0.5000  0.5000  0.5000  4 Pd 2.86, 4 Rh 2.86
Pd  0.7500  0.7500  0.7500  4 Er 2.86, 4 Ag 2.86
Rh  0.2500  0.2500  0.2500  4 Er 2.86, 4 Ag 2.86

***

<B>
Density functional theory data (GGA-PBE) for a geometry-optimized ErAgPdRh structure.

Properties
Its total moment is 0.00 μB/cell.

a = 3.8684 Å, b = 4.1892 Å, c = 4.3361 Å
α = 90.00°, β = 90.00°, γ = 90.00°
With the nearest neighbours (Å) after each atom.
Fractional coordinates of all 4 atoms:
Er  0.0000  0.0000  0.0000  4 Rh 2.85, 4 Pd 2.91, 4 Ag 3.01
Ag  0.0000  0.5000  0.5000  4 Pd 2.85, 4 Rh 2.91, 4 Er 3.01
Pd  0.5000  0.0000  0.5000  4 Ag 2.85, 4 Er 2.91, 4 Rh 3.01
Rh  0.5000  0.5000  0.0000  4 Er 2.85, 4 Ag 2.91, 4 Pd 3.01

***

Most stable = <B>

***

<A>
Density functional theory data (GGA-PBE) for a geometry-optimized SmErAgPd structure.

Properties
Its total moment is 0.00 μB/cell.

a = 3.5788 Å, b = 3.5788 Å, c = 7.2629 Å
α = 90.00°, β = 90.00°, γ = 90.00°
With the nearest neighbours (Å) after each atom.
Fractional coordinates of all 4 atoms:
Sm  0.0000  0.0000  0.0000  4 Pd 3.14, 4 Ag 3.23, 1 Er 3.47
Er  0.0000  0.0000  0.4779  4 Pd 3.00, 4 Ag 3.10
Ag  0.5000  0.5000  0.7243  4 Er 3.10, 4 Sm 3.23, 1 Pd 3.40
Pd  0.5000  0.5000  0.2560  4 Er 3.00, 4 Sm 3.14

***

<B>
Density functional theory data (GGA-PBE) for a geometry-optimized SmErAgPd structure.

Properties
Its total moment is 0.00 μB/cell.

a = 5.0819 Å, b = 5.0819 Å, c = 5.0819 Å
α = 60.00°, β = 60.00°, γ = 60.00°
With the nearest neighbours (Å) after each atom.
Fractional coordinates of all 4 atoms:
Sm  0.0000  0.0000  0.0000  4 Pd 3.11, 4 Ag 3.11
Er  0.5000  0.5000  0.5000  4 Ag 3.11, 4 Pd 3.11
Ag  0.2500  0.2500  0.2500  4 Er 3.11, 4 Sm 3.11
Pd  0.7500  0.7500  0.7500  4 Er 3.11, 4 Sm 3.11

***

Most stable = <A>

***

<A>
Density functional theory data (GGA-PBE) for a geometry-optimized TbErAgPd structure.

Properties
Its total moment is 0.00 μB/cell.

a = 3.5536 Å, b = 3.5536 Å, c = 7.1923 Å
α = 90.00°, β = 90.00°, γ = 90.00°
With the nearest neighbours (Å) after each atom.
Fractional coordinates of all 4 atoms:
Tb  0.0000  0.0000  0.0000  4 Pd 3.08, 4 Ag 3.16, 1 Er 3.44
Er  0.0000  0.0000  0.4788  4 Pd 3.02, 4 Ag 3.11
Ag  0.5000  0.5000  0.7329  4 Er 3.11, 4 Tb 3.16
Pd  0.5000  0.5000  0.2467  4 Er 3.02, 4 Tb 3.08

***

<B>
Density functional theory data (GGA-PBE) for a geometry-optimized TbErAgPd structure.

Properties
Its total moment is 0.00 μB/cell.

a = 5.0378 Å, b = 5.0378 Å, c = 5.0378 Å
α = 60.00°, β = 60.00°, γ = 60.00°
With the nearest neighbours (Å) after each atom.
Fractional coordinates of all 4 atoms:
Tb  0.0000  0.0000  0.0000  4 Pd 3.09, 4 Ag 3.09
Er  0.5000  0.5000  0.5000  4 Pd 3.09, 4 Ag 3.09
Ag  0.2500  0.2500  0.2500  4 Tb 3.09, 4 Er 3.09
Pd  0.7500  0.7500  0.7500  4 Tb 3.09, 4 Er 3.09

***

Most stable = <A>

***

<A>
Density functional theory data (GGA-PBE) for a geometry-optimized ErTmAgPd structure.

Properties
Its total moment is 0.00 μB/cell.

a = 4.9928 Å, b = 4.9928 Å, c = 4.9928 Å
α = 60.00°, β = 60.00°, γ = 60.00°
With the nearest neighbours (Å) after each atom.
Fractional coordinates of all 4 atoms:
Er  0.0000  0.0000  0.0000  4 Pd 3.06, 4 Ag 3.06
Tm  0.5000  0.5000  0.5000  4 Pd 3.06, 4 Ag 3.06
Ag  0.7500  0.7500  0.7500  4 Er 3.06, 4 Tm 3.06
Pd  0.2500  0.2500  0.2500  4 Er 3.06, 4 Tm 3.06

***

<B>
Density functional theory data (GGA-PBE) for a geometry-optimized ErTmAgPd structure.

Properties
Its total moment is 0.00 μB/cell.

a = 3.5217 Å, b = 3.5217 Å, c = 7.1287 Å
α = 90.00°, β = 90.00°, γ = 90.00°
With the nearest neighbours (Å) after each atom.
Fractional coordinates of all 4 atoms:
Er  0.0000  0.0000  0.0000  4 Pd 3.03, 4 Ag 3.12
Tm  0.0000  0.0000  0.5208  4 Pd 3.01, 4 Ag 3.10
Ag  0.5000  0.5000  0.2627  4 Tm 3.10, 4 Er 3.12
Pd  0.5000  0.5000  0.7578  4 Tm 3.01, 4 Er 3.03

***

Most stable = <B>

***

<A>
Density functional theory data (GGA-PBE) for a geometry-optimized PmEr2Ag structure.

Properties
Its total moment is 0.00 μB/cell.

a = 10.5370 Å, b = 10.5370 Å, c = 10.5370 Å
α = 19.69°, β = 19.69°, γ = 19.69°
With the nearest neighbours (Å) after each atom.
Fractional coordinates of all 4 atoms:
Pm  0.0000  0.0000  0.0000  6 Er 3.58-3.59, 6 Pm 3.60
Er  0.2394  0.2394  0.2394  3 Ag 3.06
Er  0.4277  0.4277  0.4277  3 Ag 3.07
Ag  0.8337  0.8337  0.8337  6 Er 3.06-3.07

***

<B>
Density functional theory data (GGA-PBE) for a geometry-optimized PmEr2Ag structure.

Properties
Its total moment is 0.00 μB/cell.

a = 5.3781 Å, b = 5.3781 Å, c = 5.3781 Å
α = 60.00°, β = 60.00°, γ = 60.00°
With the nearest neighbours (Å) after each atom.
Fractional coordinates of all 4 atoms:
Pm  0.0000  0.0000  0.0000  8 Er 3.29
Er  0.2500  0.2500  0.2500  4 Pm 3.29, 4 Ag 3.29
Er  0.7500  0.7500  0.7500  4 Pm 3.29, 4 Ag 3.29
Ag  0.5000  0.5000  0.5000  8 Er 3.29

***

<C>
Density functional theory data (GGA-PBE) for a geometry-optimized PmEr2Ag structure.

Properties
Its total moment is 0.00 μB/cell.

a = 4.7772 Å, b = 4.7772 Å, c = 4.8301 Å
α = 90.00°, β = 90.00°, γ = 90.00°
With the nearest neighbours (Å) after each atom.
Fractional coordinates of all 4 atoms:
Pm  0.0000  0.0000  0.0000  4 Ag 3.38, 8 Er 3.40
Er  0.0000  0.5000  0.5000  4 Er 3.38, 4 Pm 3.40, 4 Ag 3.40
Er  0.5000  0.0000  0.5000  4 Er 3.38, 4 Pm 3.40, 4 Ag 3.40
Ag  0.5000  0.5000  0.0000  4 Pm 3.38, 8 Er 3.40

***

Most stable = <A>

***

<A>
Density functional theory data (GGA-PBE) for a geometry-optimized PmErAg3 structure.

Properties
Its total moment is 0.00 μB/cell.

a = 14.0924 Å, b = 14.0924 Å, c = 4.7946 Å
α = 90.00°, β = 90.00°, γ = 165.52°
With the nearest neighbours (Å) after each atom.
Fractional coordinates of all 10 atoms:
Pm  0.0754  0.9246  0.7500  12 Ag 3.26-3.41, 2 Pm 3.55
Pm  0.9246  0.0754  0.2500  12 Ag 3.26-3.41, 2 Pm 3.55
Er  0.2098  0.7902  0.2500  7 Ag 3.02-3.10
Er  0.7902  0.2098  0.7500  7 Ag 3.02-3.10
Ag  0.3205  0.6795  0.2500  2 Ag 2.88, 5 Er 3.09-3.10
Ag  0.3774  0.6226  0.7500  3 Ag 2.75-2.88, 2 Er 3.02
Ag  0.4759  0.5241  0.7500  3 Ag 2.75
Ag  0.5241  0.4759  0.2500  3 Ag 2.75
Ag  0.6226  0.3774  0.2500  3 Ag 2.75-2.88, 2 Er 3.02
Ag  0.6795  0.3205  0.7500  2 Ag 2.88, 5 Er 3.09-3.10

***

<B>
Density functional theory data (GGA-PBE) for a geometry-optimized PmErAg3 structure.

Properties
Its total moment is 0.00 μB/cell.

a = 5.5396 Å, b = 4.9800 Å, c = 8.6644 Å
α = 90.00°, β = 102.36°, γ = 90.00°
With the nearest neighbours (Å) after each atom.
Fractional coordinates of all 10 atoms:
Pm  0.0546  0.2500  0.3740  7 Ag 3.03-3.16
Pm  0.9454  0.7500  0.6260  7 Ag 3.03-3.16
Er  0.2505  0.7500  0.0532  8 Ag 3.00-3.29
Er  0.7495  0.2500  0.9468  8 Ag 3.00-3.29
Ag  0.2062  0.2500  0.8014  3 Ag 3.00-3.12, 4 Er 3.00-3.29, 2 Pm 3.11
Ag  0.4060  0.7500  0.4125  6 Ag 2.98-3.12, 1 Er 3.05, 3 Pm 3.13-3.16
Ag  0.4970  0.7500  0.7740  5 Ag 3.00-3.08, 3 Er 3.02-3.08, 2 Pm 3.03-3.05
Ag  0.5030  0.2500  0.2260  5 Ag 3.00-3.08, 3 Er 3.02-3.08, 2 Pm 3.03-3.05
Ag  0.5940  0.2500  0.5875  6 Ag 2.98-3.12, 1 Er 3.05, 3 Pm 3.13-3.16
Ag  0.7938  0.7500  0.1986  3 Ag 3.00-3.12, 4 Er 3.00-3.29, 2 Pm 3.11

***

Most stable = <A>